Record 1
Entry from Alexandria via LeMat-Bulk: an optimized crystal structure of VTe2Mo2Se4 (PBE).

Properties
The total energy is -6.20 eV/atom. Its formation energy without anion corrections is -0.53 eV per atom. Its magnetization is 0.97 μB per formula unit. The space group is No. 156.

abc: 3.3930 3.3930 22.4347
angles: 90.00 90.00 120.00
With the nearest neighbours (Å) after each atom.
Positions (direct):
V1 0.0000 0.0000 0.0000  6 Te 2.68
Te1 0.6667 0.3333 0.0815  3 V 2.68
Te2 0.6667 0.3333 0.9184  3 V 2.68
Mo1 0.0000 0.0000 0.6435  6 Se 2.56
Mo2 0.6667 0.3333 0.3276  6 Se 2.56
Se1 0.0000 0.0000 0.2540  3 Mo 2.56
Se2 0.0000 0.0000 0.4011  3 Mo 2.56
Se3 0.6667 0.3333 0.5700  3 Mo 2.56
Se4 0.6667 0.3333 0.7171  3 Mo 2.56


Record 2
Entry from Alexandria via LeMat-Bulk: an optimized crystal structure of V2Te2MoSe4 (PBE).

Properties
The total energy is -6.03 eV/atom. Its formation energy without anion corrections is -0.55 eV per atom. Its magnetization is 1.94 μB per formula unit. The space group is No. 156.

abc: 3.4142 3.4142 22.1492
angles: 90.00 90.00 120.00
With the nearest neighbours (Å) after each atom.
Positions (direct):
V1 0.0000 0.0000 0.0000  6 Se 2.53
V2 0.3333 0.6667 0.3110  6 Se 2.53
Te1 0.0000 0.0000 0.5868  3 Mo 2.72
Te2 0.0000 0.0000 0.7559  3 Mo 2.72
Mo1 0.3333 0.6667 0.6713  6 Te 2.72
Se1 0.0000 0.0000 0.2396  3 V 2.53
Se2 0.0000 0.0000 0.3826  3 V 2.53
Se3 0.3333 0.6667 0.0714  3 V 2.53
Se4 0.3333 0.6667 0.9285  3 V 2.53


Record 3
Entry from Alexandria via LeMat-Bulk: an optimized crystal structure of Te2Mo2WSe4 (PBE).

Properties
The total energy is -6.55 eV/atom. Its formation energy without anion corrections is -0.46 eV per atom. Its magnetization is 0.00 μB per formula unit. The space group is No. 187.

abc: 3.3989 3.3989 22.2172
angles: 90.00 90.00 120.00
With the nearest neighbours (Å) after each atom.
Positions (direct):
Te1 0.0000 0.0000 0.0848  3 W 2.72
Te2 0.0000 0.0000 0.9152  3 W 2.72
Mo1 0.0000 0.0000 0.3271  6 Se 2.56
Mo2 0.0000 0.0000 0.6729  6 Se 2.56
W1 0.3333 0.6667 0.0000  6 Te 2.72
Se1 0.3333 0.6667 0.2529  3 Mo 2.56
Se2 0.3333 0.6667 0.4012  3 Mo 2.56
Se3 0.3333 0.6667 0.5988  3 Mo 2.56
Se4 0.3333 0.6667 0.7471  3 Mo 2.56


Record 4
Entry from Alexandria via LeMat-Bulk: an optimized crystal structure of Te4MoW3Se4 (PBE).

Properties
The total energy is -6.67 eV/atom. Its formation energy without anion corrections is -0.32 eV per atom. Its magnetization is 0.00 μB per formula unit. The space group is No. 156.

abc: 3.4367 3.4367 29.0497
angles: 90.00 90.00 120.00
With the nearest neighbours (Å) after each atom.
Positions (direct):
Te1 0.0000 0.0000 0.0000  3 W 2.72
Te2 0.0000 0.0000 0.1285  3 W 2.72
Te3 0.0000 0.0000 0.4977  3 W 2.72
Te4 0.0000 0.0000 0.6262  3 W 2.72
Mo1 0.0000 0.0000 0.3142  6 Se 2.57
W1 0.0000 0.0000 0.8124  6 Se 2.58
W2 0.3333 0.6667 0.0642  6 Te 2.72
W3 0.3333 0.6667 0.5620  6 Te 2.72
Se1 0.3333 0.6667 0.2579  3 Mo 2.57
Se2 0.3333 0.6667 0.3705  3 Mo 2.57
Se3 0.3333 0.6667 0.7559  3 W 2.58
Se4 0.3333 0.6667 0.8689  3 W 2.58


Record 5
Entry from Alexandria via LeMat-Bulk: an optimized crystal structure of Te4MoW2Se2 (PBE).

Properties
The total energy is -6.51 eV/atom. Its formation energy without anion corrections is -0.26 eV per atom. Its magnetization is 0.00 μB per formula unit. The space group is No. 156.

abc: 3.4760 3.4760 22.6764
angles: 90.00 90.00 120.00
With the nearest neighbours (Å) after each atom.
Positions (direct):
Te1 0.0000 0.0000 0.0000  3 W 2.73
Te2 0.0000 0.0000 0.1632  3 W 2.73
Te3 0.3333 0.6667 0.3340  3 W 2.73
Te4 0.3333 0.6667 0.4972  3 W 2.73
Mo1 0.0000 0.0000 0.7648  6 Se 2.58
W1 0.0000 0.0000 0.4156  6 Te 2.73
W2 0.3333 0.6667 0.0816  6 Te 2.73
Se1 0.3333 0.6667 0.6933  3 Mo 2.58
Se2 0.3333 0.6667 0.8365  3 Mo 2.58


Record 6
Entry from Alexandria via LeMat-Bulk: an optimized crystal structure of Te2MoWSe2 (PBE).

Properties
The total energy is -6.53 eV/atom. Its formation energy without anion corrections is -0.35 eV per atom. Its magnetization is 0.00 μB per formula unit. The space group is No. 164.

abc: 3.4385 3.4385 28.9949
angles: 90.00 90.00 120.00
With the nearest neighbours (Å) after each atom.
Positions (direct):
Te1 0.3333 0.6667 0.3055  3 W 2.72
Te2 0.3333 0.6667 0.4342  3 W 2.72
Te3 0.6667 0.3333 0.5658  3 W 2.72
Te4 0.6667 0.3333 0.6945  3 W 2.72
Mo1 0.3333 0.6667 0.1212  6 Se 2.57
Mo2 0.6667 0.3333 0.8788  6 Se 2.57
W1 0.3333 0.6667 0.6301  6 Te 2.72
W2 0.6667 0.3333 0.3699  6 Te 2.72
Se1 0.3333 0.6667 0.8224  3 Mo 2.57
Se2 0.3333 0.6667 0.9352  3 Mo 2.57
Se3 0.6667 0.3333 0.0648  3 Mo 2.57
Se4 0.6667 0.3333 0.1776  3 Mo 2.57


Record 7
Entry from Alexandria via LeMat-Bulk: an optimized crystal structure of Te2MoWSe2 (PBE).

Properties
The total energy is -6.55 eV/atom. Its formation energy without anion corrections is -0.38 eV per atom. Its magnetization is 0.00 μB per formula unit. The space group is No. 156.

abc: 3.4387 3.4387 14.5641
angles: 90.00 90.00 120.00
With the nearest neighbours (Å) after each atom.
Positions (direct):
Te1 0.0000 0.0000 0.0000  3 Mo 2.73
Te2 0.3333 0.6667 0.7315  3 W 2.73
Mo1 0.3333 0.6667 0.1283  3 Se 2.56, 3 Te 2.73
W1 0.0000 0.0000 0.6027  3 Se 2.57, 3 Te 2.73
Se1 0.0000 0.0000 0.2394  3 Mo 2.56
Se2 0.3333 0.6667 0.4910  3 W 2.57


Record 8
Entry from Alexandria via LeMat-Bulk: an optimized crystal structure of Te2MoW2Se4 (PBE).

Properties
The total energy is -6.77 eV/atom. Its formation energy without anion corrections is -0.44 eV per atom. Its magnetization is 0.00 μB per formula unit. The space group is No. 156.

abc: 3.3926 3.3926 22.3770
angles: 90.00 90.00 120.00
With the nearest neighbours (Å) after each atom.
Positions (direct):
Te1 0.0000 0.0000 0.0000  3 Mo 2.71
Te2 0.0000 0.0000 0.1676  3 Mo 2.71
Mo1 0.3333 0.6667 0.0838  6 Te 2.71
W1 0.0000 0.0000 0.4126  6 Se 2.57
W2 0.3333 0.6667 0.7271  6 Se 2.57
Se1 0.0000 0.0000 0.6530  3 W 2.57
Se2 0.0000 0.0000 0.8011  3 W 2.57
Se3 0.3333 0.6667 0.3385  3 W 2.57
Se4 0.3333 0.6667 0.4866  3 W 2.57


Record 9
Entry from Alexandria via LeMat-Bulk: an optimized crystal structure of Te2MoW2Se4 (PBE).

Properties
The total energy is -6.77 eV/atom. Its formation energy without anion corrections is -0.44 eV per atom. Its magnetization is 0.00 μB per formula unit. The space group is No. 187.

abc: 3.3928 3.3928 22.4324
angles: 90.00 90.00 120.00
With the nearest neighbours (Å) after each atom.
Positions (direct):
Te1 0.0000 0.0000 0.0836  3 Mo 2.71
Te2 0.0000 0.0000 0.9164  3 Mo 2.71
Mo1 0.3333 0.6667 0.0000  6 Te 2.71
W1 0.0000 0.0000 0.3273  6 Se 2.57
W2 0.0000 0.0000 0.6727  6 Se 2.57
Se1 0.3333 0.6667 0.2534  3 W 2.57
Se2 0.3333 0.6667 0.4011  3 W 2.57
Se3 0.3333 0.6667 0.5989  3 W 2.57
Se4 0.3333 0.6667 0.7466  3 W 2.57


Record 10
Entry from Alexandria via LeMat-Bulk: an optimized crystal structure of Te2MoWSe2 (PBE).

Properties
The total energy is -6.57 eV/atom. Its formation energy without anion corrections is -0.39 eV per atom. Its magnetization is 0.00 μB per formula unit. The space group is No. 164.

abc: 3.4307 3.4307 29.1468
angles: 90.00 90.00 120.00
With the nearest neighbours (Å) after each atom.
Positions (direct):
Te1 0.3333 0.6667 0.3057  3 Mo 2.72
Te2 0.3333 0.6667 0.4333  3 Mo 2.72
Te3 0.6667 0.3333 0.5667  3 Mo 2.72
Te4 0.6667 0.3333 0.6943  3 Mo 2.72
Mo1 0.3333 0.6667 0.6305  6 Te 2.72
Mo2 0.6667 0.3333 0.3695  6 Te 2.72
W1 0.3333 0.6667 0.1201  6 Se 2.57
W2 0.6667 0.3333 0.8799  6 Se 2.57
Se1 0.3333 0.6667 0.8235  3 W 2.57
Se2 0.3333 0.6667 0.9363  3 W 2.57
Se3 0.6667 0.3333 0.0637  3 W 2.57
Se4 0.6667 0.3333 0.1765  3 W 2.57


Record 11
Entry from Alexandria via LeMat-Bulk: an optimized crystal structure of Te6Mo3WSe2 (PBE).

Properties
The total energy is -6.27 eV/atom. Its formation energy without anion corrections is -0.33 eV per atom. Its magnetization is 0.00 μB per formula unit. The space group is No. 156.

abc: 3.4918 3.4918 29.4773
angles: 90.00 90.00 120.00
With the nearest neighbours (Å) after each atom.
Positions (direct):
Te1 0.0000 0.0000 0.0000  3 Mo 2.73
Te2 0.0000 0.0000 0.1245  3 Mo 2.73
Te3 0.0000 0.0000 0.4899  3 Mo 2.72
Te4 0.0000 0.0000 0.6143  3 Mo 2.73
Te5 0.3333 0.6667 0.7435  3 Mo 2.73
Te6 0.3333 0.6667 0.8680  3 Mo 2.73
Mo1 0.0000 0.0000 0.8058  6 Te 2.73
Mo2 0.3333 0.6667 0.0623  6 Te 2.73
Mo3 0.3333 0.6667 0.5521  6 Te 2.72-2.73
W1 0.0000 0.0000 0.3070  6 Se 2.59
Se1 0.3333 0.6667 0.2520  3 W 2.59
Se2 0.3333 0.6667 0.3621  3 W 2.59


Record 12
Entry from Alexandria via LeMat-Bulk: an optimized crystal structure of Te2MoW3Se6 (PBE).

Properties
The total energy is -6.86 eV/atom. Its formation energy without anion corrections is -0.45 eV per atom. Its magnetization is 0.00 μB per formula unit. The space group is No. 156.

abc: 3.3781 3.3781 28.7531
angles: 90.00 90.00 120.00
With the nearest neighbours (Å) after each atom.
Positions (direct):
Te1 0.0000 0.0000 0.0000  3 W 2.72
Te2 0.0000 0.0000 0.1316  3 W 2.72
Mo1 0.0000 0.0000 0.8121  6 Se 2.56
W1 0.0000 0.0000 0.3222  6 Se 2.56
W2 0.6667 0.3333 0.0658  6 Te 2.72
W3 0.6667 0.3333 0.5678  6 Se 2.56
Se1 0.0000 0.0000 0.5100  3 W 2.56
Se2 0.0000 0.0000 0.6256  3 W 2.56
Se3 0.6667 0.3333 0.2644  3 W 2.56
Se4 0.6667 0.3333 0.3800  3 W 2.56
Se5 0.6667 0.3333 0.7545  3 Mo 2.56
Se6 0.6667 0.3333 0.8696  3 Mo 2.56


Question: Look up the magnetization of the seventh one.
Answer: 0.00 μB per formula unit


Copy entry 4 word for word.
Entry from Alexandria via LeMat-Bulk: an optimized crystal structure of Te4MoW3Se4 (PBE).

Properties
The total energy is -6.67 eV/atom. Its formation energy without anion corrections is -0.32 eV per atom. Its magnetization is 0.00 μB per formula unit. The space group is No. 156.

abc: 3.4367 3.4367 29.0497
angles: 90.00 90.00 120.00
With the nearest neighbours (Å) after each atom.
Positions (direct):
Te1 0.0000 0.0000 0.0000  3 W 2.72
Te2 0.0000 0.0000 0.1285  3 W 2.72
Te3 0.0000 0.0000 0.4977  3 W 2.72
Te4 0.0000 0.0000 0.6262  3 W 2.72
Mo1 0.0000 0.0000 0.3142  6 Se 2.57
W1 0.0000 0.0000 0.8124  6 Se 2.58
W2 0.3333 0.6667 0.0642  6 Te 2.72
W3 0.3333 0.6667 0.5620  6 Te 2.72
Se1 0.3333 0.6667 0.2579  3 Mo 2.57
Se2 0.3333 0.6667 0.3705  3 Mo 2.57
Se3 0.3333 0.6667 0.7559  3 W 2.58
Se4 0.3333 0.6667 0.8689  3 W 2.58


Question: What is the formation energy without anion corrections in the first record?
Answer: -0.53 eV per atom


Question: Among the records above, which one has the highest magnetization?
Answer: V2Te2MoSe4